No. 1
# Ac2PaNi2S6

An optimized crystal structure of Ac2PaNi2S6 (PBE-GGA, Alexandria).

Cell lengths 6.7128, 6.9533, 7.4507 Å; angles 116.89, 90.00, 118.86 degrees
Closest atoms and distances in Å follow each position.
Atoms (fractional coordinates):
S: 0.8194 0.1407 0.8217  1 Ni 2.16
Ac: 0.7329 0.4658 0.2059  5 S 2.98-3.02, 1 Ni 3.33
S: 0.6787 0.8593 0.1783  1 Ni 2.16
Pa: 0.5000 0.0000 0.5000  6 S 2.61-2.67
Ni: 0.9407 0.8815 0.7199  3 S 2.13-2.16
S: 0.3213 0.1407 0.8217  1 Ni 2.16
Ac: 0.2671 0.5342 0.7941  5 S 2.98-3.02, 1 Ni 3.33
S: 0.2586 0.5172 0.3873  1 Ni 2.13
S: 0.1806 0.8593 0.1783  1 Ni 2.16
S: 0.7414 0.4828 0.6127  1 Ni 2.13
Ni: 0.0593 0.1185 0.2801  3 S 2.13-2.16

Values from the calculation:
- Final energy: -6.317 eV/atom
- E_form (uncorrected): -1.4047 eV per atom
- Density: 6334 kg/m³
- Total moment: 0.00 μB/f.u.


No. 2
# CePrMg17

An optimized crystal structure of CePrMg17 (PBE-GGA, Alexandria).

Cell lengths 7.8123, 7.8123, 7.8123 Å; angles 82.31, 82.31, 82.31 degrees
Closest atoms and distances in Å follow each position.
Atoms (fractional coordinates):
Mg: 0.1595 0.6487 0.6487  9 Mg 2.93-3.28
Mg: 0.9013 0.9013 0.9013  7 Mg 3.01-3.28
Mg: 0.3016 0.6982 0.0002  8 Mg 2.99-3.18
Mg: 0.6487 0.6487 0.1595  9 Mg 2.93-3.28
Mg: 0.6982 0.3016 0.0002  8 Mg 2.99-3.18
Mg: 0.6982 0.0002 0.3016  8 Mg 2.99-3.18
Mg: 0.8394 0.3513 0.3513  9 Mg 2.93-3.28
Mg: 0.3513 0.3513 0.8394  9 Mg 2.93-3.28
Mg: 0.0002 0.3016 0.6982  8 Mg 2.99-3.18
Mg: 0.3016 0.0002 0.6982  8 Mg 2.99-3.18
Mg: 0.0990 0.0990 0.0990  7 Mg 3.01-3.28
Mg: 0.0008 0.4993 0.0008  10 Mg 2.99-3.15
Mg: 0.0002 0.6982 0.3016  8 Mg 2.99-3.18
Mg: 0.3513 0.8394 0.3513  9 Mg 2.93-3.28
Pr: 0.6690 0.6690 0.6690  16 Mg 3.54-3.89
Ce: 0.3310 0.3310 0.3310  16 Mg 3.54-3.87
Mg: 0.0008 0.0008 0.4993  10 Mg 2.99-3.15
Mg: 0.6487 0.1595 0.6487  9 Mg 2.93-3.28
Mg: 0.4993 0.0008 0.0008  10 Mg 2.99-3.15

Values from the calculation:
- Final energy: -2.028 eV/atom
- Density: 2479 kg/m³
- Total moment: 1.16 μB/f.u.


No. 3
# Ca2PrTmTe4

An optimized crystal structure of Ca2PrTmTe4 (PBE-GGA, Alexandria).

Cell lengths 4.4194, 7.6842, 7.8087 Å; angles 109.03, 90.00, 90.00 degrees
Closest atoms and distances in Å follow each position.
Atoms (fractional coordinates):
Pr: 0.5000 0.5000 0.0000  6 Te 3.19
Te: 0.0000 0.2395 0.7477  1 Tm 3.10, 3 Ca 3.11-3.20, 2 Pr 3.19
Tm: 0.0000 0.0000 0.0000  6 Te 3.10
Te: 0.0000 0.7605 0.2523  1 Tm 3.10, 3 Ca 3.11-3.20, 2 Pr 3.19
Te: 0.5000 0.2390 0.2451  2 Tm 3.10, 3 Ca 3.12-3.20, 1 Pr 3.19
Ca: 0.5000 0.0000 0.5000  6 Te 3.11-3.12
Te: 0.5000 0.7610 0.7549  2 Tm 3.10, 3 Ca 3.12-3.20, 1 Pr 3.19
Ca: 0.0000 0.5000 0.5000  6 Te 3.20

Values from the calculation:
- Final energy: -4.684 eV/atom
- E_form (uncorrected): -1.4560 eV per atom
- Density: 5964 kg/m³
- Total moment: 0.00 μB/f.u.


No. 4
# LaPrPb2

An optimized crystal structure of LaPrPb2 (PBE-GGA, Alexandria).

Cell lengths 3.6626, 3.6626, 9.3006 Å; angles 90.00, 90.00, 90.00 degrees
Closest atoms and distances in Å follow each position.
Atoms (fractional coordinates):
Pr: 0.5000 0.5000 0.5000  8 Pb 3.47, 4 Pr 3.66
Pb: 0.0000 0.0000 0.7478  4 Pr 3.47, 4 La 3.49, 4 Pb 3.66
La: 0.5000 0.5000 0.0000  8 Pb 3.49, 4 La 3.66
Pb: 0.0000 0.0000 0.2522  4 Pr 3.47, 4 La 3.49, 4 Pb 3.66

Values from the calculation:
- Final energy: -4.834 eV/atom
- Density: 9240 kg/m³
- Total moment: 0.00 μB/f.u.


No. 5
# KGdP2H4O9

An optimized crystal structure of KGdP2H4O9 (PBE-GGA, Alexandria).

Cell lengths 7.9019, 10.2931, 10.6010 Å; angles 90.00, 90.00, 93.23 degrees
Closest atoms and distances in Å follow each position.
Atoms (fractional coordinates):
O: 0.3785 0.4385 0.6246  2 H 0.99
H: 0.2922 0.5404 0.5162  1 O 1.00
O: 0.2267 0.5976 0.4603  2 H 0.98-1.00
P: 0.3916 0.6665 0.1075  4 O 1.53-1.65
O: 0.7733 0.9024 0.9603  2 H 0.98-1.00
H: 0.8456 0.9578 0.9055  1 O 0.98
O: 0.4139 0.7644 0.2157  1 P 1.53
O: 0.1258 0.8598 0.5774  1 P 1.53
O: 0.3785 0.9385 0.8754  2 H 0.99
H: 0.4261 0.3668 0.5760  1 O 0.99
P: 0.0346 0.1214 0.3462  4 O 1.53-1.65
O: 0.4139 0.2644 0.2843  1 P 1.53
Gd: 0.2529 0.3290 0.1154  7 O 2.31-2.51
O: 0.2267 0.0976 0.0397  2 H 0.98-1.00
O: 0.1932 0.1673 0.4401  2 P 1.65
H: 0.7078 0.9596 0.0162  1 O 1.00
O: 0.5861 0.2356 0.7843  1 P 1.53
O: 0.9527 0.2895 0.7308  1 P 1.53
O: 0.6215 0.5615 0.3754  2 H 0.99
O: 0.1932 0.6673 0.0599  2 P 1.65
O: 0.0473 0.7105 0.2692  1 P 1.53
Gd: 0.2529 0.8290 0.3846  7 O 2.31-2.51
P: 0.6084 0.8335 0.6075  4 O 1.53-1.65
H: 0.4629 0.4584 0.6918  1 O 0.99
K: 0.2465 0.6610 0.7783  6 O 2.74-3.04, 2 H 2.92
O: 0.8068 0.3327 0.9401  2 P 1.65
O: 0.0473 0.2105 0.2308  1 P 1.53
Gd: 0.7471 0.1710 0.6154  7 O 2.31-2.51
O: 0.0589 0.4790 0.1881  1 P 1.53
H: 0.7078 0.4596 0.4838  1 O 1.00
O: 0.6215 0.0615 0.1246  2 H 0.99
H: 0.1544 0.5422 0.4055  1 O 0.98
O: 0.5861 0.7356 0.7157  1 P 1.53
P: 0.3916 0.1665 0.3925  4 O 1.53-1.65
O: 0.4220 0.5270 0.1488  1 P 1.53
Gd: 0.7471 0.6710 0.8846  7 O 2.31-2.51
O: 0.5780 0.9730 0.6488  1 P 1.53
O: 0.8742 0.6402 0.0774  1 P 1.53
H: 0.5371 0.5416 0.3082  1 O 0.99
H: 0.8456 0.4578 0.5945  1 O 0.98
K: 0.7535 0.8390 0.2783  6 O 2.74-3.04, 2 H 2.92
K: 0.2465 0.1610 0.7217  6 O 2.74-3.04, 2 H 2.92
P: 0.9654 0.8786 0.6538  4 O 1.53-1.65
H: 0.4629 0.9584 0.8082  1 O 0.99
O: 0.4901 0.7123 0.9898  1 P 1.53
K: 0.7535 0.3390 0.2217  6 O 2.74-3.04, 2 H 2.92
H: 0.4261 0.8668 0.9240  1 O 0.99
O: 0.4901 0.2123 0.5102  1 P 1.53
O: 0.9411 0.0210 0.6881  1 P 1.53
O: 0.1258 0.3598 0.9226  1 P 1.53
P: 0.6084 0.3335 0.8925  4 O 1.53-1.65
P: 0.9654 0.3786 0.8462  4 O 1.53-1.65
O: 0.4220 0.0270 0.3512  1 P 1.53
O: 0.8742 0.1402 0.4226  1 P 1.53
O: 0.5780 0.4730 0.8512  1 P 1.53
O: 0.0589 0.9790 0.3119  1 P 1.53
O: 0.5099 0.2877 0.0102  1 P 1.53
H: 0.2922 0.0404 0.9838  1 O 1.00
P: 0.0346 0.6214 0.1538  4 O 1.53-1.65
O: 0.7733 0.4024 0.5397  2 H 0.98-1.00
H: 0.5739 0.6332 0.4240  1 O 0.99
H: 0.1544 0.0422 0.0945  1 O 0.98
O: 0.9527 0.7895 0.7692  1 P 1.53
H: 0.5739 0.1332 0.0760  1 O 0.99
O: 0.5099 0.7877 0.4898  1 P 1.53
O: 0.8068 0.8327 0.5599  2 P 1.65
O: 0.9411 0.5210 0.8119  1 P 1.53
H: 0.5371 0.0416 0.1918  1 O 0.99

Values from the calculation:
- Final energy: -7.037 eV/atom
- Density: 3135 kg/m³
- Total moment: 6.95 μB/f.u.


No. 6
# Tb2Dy7Th3

An optimized crystal structure of Tb2Dy7Th3 (PBE-GGA, Alexandria).

Cell lengths 3.4928, 6.3332, 17.8459 Å; angles 75.94, 90.00, 90.00 degrees
Closest atoms and distances in Å follow each position.
Atoms (fractional coordinates):
Dy: 0.0000 0.0000 0.0000  8 Dy 3.49-3.58, 4 Th 3.62
Th: 0.5000 0.5000 0.0000  2 Th 3.49, 10 Dy 3.51-3.62
Th: 0.0000 0.1228 0.3385  2 Th 3.49, 7 Dy 3.55-3.73, 4 Tb 3.61-3.63
Tb: 0.5000 0.3719 0.6719  5 Dy 3.36-3.52, 2 Tb 3.49, 4 Th 3.61-3.63
Th: 0.0000 0.8772 0.6615  2 Th 3.49, 7 Dy 3.55-3.73, 4 Tb 3.61-3.63
Dy: 0.0000 0.4446 0.8352  7 Dy 3.49-3.70, 3 Th 3.51-3.60, 2 Tb 3.52
Dy: 0.5000 0.0682 0.1677  1 Tb 3.48, 8 Dy 3.49-3.70, 3 Th 3.53-3.60
Dy: 0.5000 0.7544 0.5043  2 Dy 3.08-3.26, 2 Tb 3.36-3.43
Dy: 0.5000 0.2456 0.4957  2 Dy 3.08-3.26, 2 Tb 3.36-3.43
Tb: 0.5000 0.6281 0.3281  5 Dy 3.36-3.52, 2 Tb 3.49, 4 Th 3.61-3.63
Dy: 0.5000 0.9318 0.8323  1 Tb 3.48, 8 Dy 3.49-3.70, 3 Th 3.53-3.60
Dy: 0.0000 0.5554 0.1648  7 Dy 3.49-3.70, 3 Th 3.51-3.60, 2 Tb 3.52

Values from the calculation:
- Final energy: -5.217 eV/atom
- Density: 9330 kg/m³
- Total moment: 0.00 μB/f.u.


No. 7
# Pm6Ir3S2Br

An optimized crystal structure of Pm6Ir3S2Br (PBE-GGA, Alexandria).

Cell lengths 4.0443, 8.6428, 9.5363 Å; angles 108.12, 102.24, 90.00 degrees
Closest atoms and distances in Å follow each position.
Atoms (fractional coordinates):
S: 0.8334 0.6746 0.6667  6 Pm 2.97-3.04
S: 0.1666 0.3254 0.3333  6 Pm 2.97-3.04
Pm: 0.0016 0.2793 0.0031  3 Ir 2.79-2.88, 1 S 2.97
Ir: 0.8388 0.1785 0.6777  6 Pm 2.79-2.91
Pm: 0.3342 0.4143 0.6684  3 Ir 2.89-2.94, 3 S 2.97-3.03
Ir: 0.1612 0.8215 0.3223  6 Pm 2.79-2.91
Ir: 0.5000 0.5000 0.0000  6 Pm 2.79-2.94
Pm: 0.6811 0.0746 0.3621  3 Ir 2.79-2.91, 2 S 3.04
Br: 0.5000 0.0000 0.0000  6 Pm 3.14-3.23
Pm: 0.3189 0.9254 0.6379  3 Ir 2.79-2.91, 2 S 3.04
Pm: 0.6658 0.5857 0.3316  3 Ir 2.89-2.94, 3 S 2.97-3.03
Pm: 0.9984 0.7207 0.9969  3 Ir 2.79-2.88, 1 S 2.97

Values from the calculation:
- Final energy: -6.603 eV/atom
- E_form (uncorrected): -1.1850 eV per atom
- Density: 8553 kg/m³
- Total moment: 0.00 μB/f.u.


No. 8
# ThBi2RuO8

An optimized crystal structure of ThBi2RuO8 (PBE-GGA, Alexandria).

Cell lengths 5.2390, 5.2461, 6.8169 Å; angles 90.00, 90.00, 88.97 degrees
Closest atoms and distances in Å follow each position.
Atoms (fractional coordinates):
O: 0.2492 0.2427 0.0000  1 Ru 1.84
O: 0.1805 0.8154 0.2261  1 Ru 2.04
O: 0.1805 0.8154 0.7739  1 Ru 2.04
O: 0.8195 0.1846 0.7739  1 Ru 2.04
Bi: 0.5000 0.5000 0.7572  4 O 2.23-2.34
Ru: 0.0000 0.0000 0.0000  6 O 1.84-2.04
O: 0.3167 0.3133 0.5000  2 Bi 2.23, 1 Th 2.36
O: 0.6833 0.6867 0.5000  2 Bi 2.23, 1 Th 2.36
Th: 0.0000 0.0000 0.5000  6 O 2.30-2.36
O: 0.7508 0.7573 0.0000  1 Ru 1.84
Bi: 0.5000 0.5000 0.2428  4 O 2.23-2.34
O: 0.8195 0.1846 0.2261  1 Ru 2.04

Values from the calculation:
- Final energy: -6.989 eV/atom
- E_form (uncorrected): -1.6457 eV per atom
- Density: 7792 kg/m³
- Total moment: 0.71 μB/f.u.


No. 9
# Y8Ho3Zr

An optimized crystal structure of Y8Ho3Zr (PBE-GGA, Alexandria).

Cell lengths 7.1156, 7.1166, 13.7854 Å; angles 104.94, 121.05, 120.02 degrees
Closest atoms and distances in Å follow each position.
Atoms (fractional coordinates):
Y: 0.1259 0.3991 0.6726  1 Zr 3.44, 2 Ho 3.46-3.47, 9 Y 3.50-3.61
Ho: 0.0000 0.5000 0.0000  6 Y 3.47-3.49, 4 Ho 3.56, 2 Zr 3.56
Y: 0.8741 0.6009 0.3274  1 Zr 3.44, 2 Ho 3.46-3.47, 9 Y 3.50-3.61
Ho: 0.5000 0.0000 0.0000  6 Y 3.47-3.49, 4 Ho 3.56, 2 Zr 3.56
Y: 0.8871 0.1098 0.3324  3 Ho 3.49, 9 Y 3.52-3.56
Y: 0.1129 0.8902 0.6676  3 Ho 3.49, 9 Y 3.52-3.56
Y: 0.6185 0.8917 0.6725  1 Zr 3.44, 2 Ho 3.46-3.47, 9 Y 3.50-3.61
Zr: 0.0000 0.0000 0.0000  6 Y 3.44, 6 Ho 3.56
Y: 0.3815 0.1083 0.3275  1 Zr 3.44, 2 Ho 3.46-3.47, 9 Y 3.50-3.61
Ho: 0.5000 0.5000 0.0000  6 Y 3.46-3.49, 2 Zr 3.56, 4 Ho 3.56
Y: 0.3816 0.6010 0.3276  1 Zr 3.44, 2 Ho 3.47, 9 Y 3.51-3.61
Y: 0.6184 0.3990 0.6724  1 Zr 3.44, 2 Ho 3.47, 9 Y 3.51-3.61

Values from the calculation:
- Final energy: -6.132 eV/atom
- Density: 5790 kg/m³
- Total moment: 0.00 μB/f.u.